Below is an optimized crystal structure of Ba2InReO6, with properties calculated at the PBE level.

Unit cell a=5.902 b=5.902 c=5.902 alpha=60.00 beta=60.00 gamma=60.00
Fractional positions:
Ba (0.250, 0.250, 0.250)
Ba (0.750, 0.750, 0.750)
In (0.000, 0.000, 0.000)
Re (0.500, 0.500, 0.500)
O (0.261, 0.261, 0.739)
O (0.261, 0.739, 0.261)
O (0.261, 0.739, 0.739)
O (0.739, 0.261, 0.261)
O (0.739, 0.261, 0.739)
O (0.739, 0.739, 0.261)

Results
M_tot in μB/f.u.: 2.00
Raw formation energy in meV per atom: -2072
Volume in Å³ per cell: 145